# 1
VASP calculation (PBE-GGA) on a relaxed Cs2BaCe3S8 crystal.

a = 8.483 Å, b = 8.483 Å, c = 9.369 Å
α = 63.08°, β = 63.08°, γ = 60.00°
Fractional positions:
Cs (0.132, 0.132, 0.603)
Cs (0.496, 0.496, 0.512)
Ba (0.886, 0.886, 0.341)
Ce (0.499, 0.001, 0.002)
Ce (0.001, 0.499, 0.002)
Ce (0.499, 0.499, 0.002)
S (0.274, 0.274, 0.177)
S (0.729, 0.729, 0.812)
S (0.238, 0.238, 0.838)
S (0.686, 0.238, 0.838)
S (0.238, 0.686, 0.838)
S (0.753, 0.308, 0.186)
S (0.308, 0.753, 0.186)
S (0.753, 0.753, 0.186)

Total magnetic moment = 0.000 μB/f.u.
E_form (uncorrected) = -1.659 eV per atom
V = 35.55 Å³/atom


# 2
VASP calculation (PBE-GGA) on a relaxed NaGe2Pt5 crystal.

a = 3.889 Å, b = 6.444 Å, c = 6.444 Å
α = 68.89°, β = 72.44°, γ = 72.44°
Fractional positions:
Na (0.000, 0.000, 0.000)
Ge (0.747, 0.753, 0.753)
Ge (0.253, 0.247, 0.247)
Pt (0.000, 0.500, 0.500)
Pt (0.646, 0.551, 0.157)
Pt (0.354, 0.449, 0.843)
Pt (0.354, 0.843, 0.449)
Pt (0.646, 0.157, 0.551)

Total magnetic moment = 0.000 μB/f.u.
V = 17.52 Å³/atom
Fermi-level density of states = 3.2 states/eV per cell
Formation energy from the elements = -3.44 eV/f.u.


# 3
VASP calculation (PBE-GGA) on a relaxed ZnTe2Au crystal.

a = 3.120 Å, b = 3.120 Å, c = 10.486 Å
α = 90.00°, β = 90.00°, γ = 91.65°
Fractional positions:
Au (0.500, 0.500, 0.691)
Te (0.000, 0.000, 0.950)
Te (0.500, 0.500, 0.312)
Zn (0.000, 0.000, 0.548)

Total magnetic moment = 0.000 μB/f.u.
E_form (uncorrected) = 0.128 eV per atom
V = 25.51 Å³/atom
Fermi-level density of states = 2.3 states/eV per cell


# 4
VASP calculation (PBE-GGA) on a relaxed SrGa5Rh2 crystal.

a = 4.043 Å, b = 6.631 Å, c = 6.631 Å
α = 66.26°, β = 72.25°, γ = 72.25°
Fractional positions:
Sr (0.000, 0.000, 0.000)
Ga (0.000, 0.500, 0.500)
Ga (0.650, 0.546, 0.153)
Ga (0.350, 0.454, 0.847)
Ga (0.350, 0.847, 0.454)
Ga (0.650, 0.153, 0.546)
Rh (0.767, 0.733, 0.733)
Rh (0.233, 0.267, 0.267)

Total magnetic moment = 0.000 μB/f.u.
V = 18.95 Å³/atom
Fermi-level density of states = 3.2 states/eV per cell
Formation energy from the elements = -4.50 eV/f.u.


# 5
VASP calculation (PBE-GGA) on a relaxed PmPdRhAu crystal.

a = 3.977 Å, b = 4.275 Å, c = 4.370 Å
α = 90.00°, β = 90.00°, γ = 90.00°
Fractional positions:
Pm (0.000, 0.500, 0.500)
Pd (0.500, 0.500, 0.000)
Rh (0.500, 0.000, 0.500)
Au (0.000, 0.000, 0.000)

Total magnetic moment = 0.000 μB/f.u.
V = 18.57 Å³/atom
Fermi-level density of states = 3.1 states/eV per cell
Formation energy from the elements = -2.63 eV/f.u.
Polymorph energy (0 for the lowest one) = 0 meV per atom


# 6
VASP calculation (PBE-GGA) on a relaxed Pm3Ga3Pd8 crystal.

a = 4.398 Å, b = 8.334 Å, c = 8.334 Å
α = 69.29°, β = 74.70°, γ = 74.70°
Fractional positions:
Pm (0.500, 0.500, 0.500)
Pm (0.798, 0.202, 0.202)
Pm (0.202, 0.798, 0.798)
Ga (0.500, 0.000, 0.000)
Ga (0.000, 0.761, 0.239)
Ga (0.000, 0.239, 0.761)
Pd (0.612, 0.095, 0.681)
Pd (0.388, 0.905, 0.319)
Pd (0.612, 0.681, 0.095)
Pd (0.388, 0.319, 0.905)
Pd (0.822, 0.825, 0.532)
Pd (0.178, 0.175, 0.468)
Pd (0.822, 0.532, 0.825)
Pd (0.178, 0.468, 0.175)

Total magnetic moment = 0.000 μB/f.u.
V = 19.33 Å³/atom
Fermi-level density of states = 8.2 states/eV per cell
Formation energy from the elements = -10.02 eV/f.u.